No. 1
First-principles (PBE-GGA) data for crystalline CsSn4Pb12 at its relaxed geometry, as listed in the Alexandria database.

## Properties
Formation enthalpy at 0 K   85 meV per atom
Magnetization   0.0 μB per cell

Cell: 9.2782 9.2782 9.2782 Å, 109.47 109.47 109.47°
Last column: nearest neighbours and their distance in Å.
Positions (direct):
Cs 0.0000 0.0000 0.0000  12 Pb 4.12
Sn 0.0000 0.0000 0.5000  6 Pb 3.10
Sn 0.0000 0.5000 0.0000  6 Pb 3.10
Sn 0.5000 0.0000 0.0000  6 Pb 3.10
Sn 0.5000 0.5000 0.5000  6 Pb 3.10
Pb 0.1497 0.3545 0.5042  2 Sn 3.10, 2 Pb 3.12-3.21
Pb 0.1497 0.6455 0.7951  2 Sn 3.10, 2 Pb 3.12-3.21
Pb 0.2049 0.8503 0.3545  2 Sn 3.10, 2 Pb 3.12-3.21
Pb 0.3545 0.2049 0.8503  2 Sn 3.10, 2 Pb 3.12-3.21
Pb 0.3545 0.5042 0.1497  2 Sn 3.10, 2 Pb 3.12-3.21
Pb 0.4958 0.8503 0.6455  2 Sn 3.10, 2 Pb 3.12-3.21
Pb 0.5042 0.1497 0.3545  2 Sn 3.10, 2 Pb 3.12-3.21
Pb 0.6455 0.4958 0.8503  2 Sn 3.10, 2 Pb 3.12-3.21
Pb 0.6455 0.7951 0.1497  2 Sn 3.10, 2 Pb 3.12-3.21
Pb 0.7951 0.1497 0.6455  2 Sn 3.10, 2 Pb 3.12-3.21
Pb 0.8503 0.3545 0.2049  2 Sn 3.10, 2 Pb 3.12-3.21
Pb 0.8503 0.6455 0.4958  2 Sn 3.10, 2 Pb 3.12-3.21


No. 2
First-principles (PBE-GGA) data for crystalline AlCoPd2S at its relaxed geometry, as listed in the Alexandria database.

## Properties
Magnetization   1.5 μB per cell

Cell: 4.5521 4.5521 4.4186 Å, 90.00 90.00 90.00°
Last column: nearest neighbours and their distance in Å.
Positions (direct):
Al 0.0000 0.0000 0.0000  2 Co 2.21, 4 Pd 2.28
Co 0.0000 0.0000 0.5000  2 Al 2.21
Pd 0.0000 0.5000 0.0000  2 Al 2.28
Pd 0.5000 0.0000 0.0000  2 Al 2.28
S 0.5000 0.5000 0.5000  8 Pd 3.17, 4 Co 3.22


No. 3
First-principles (PBE-GGA) data for crystalline LiTiO2 at its relaxed geometry, as listed in the Alexandria database.

## Properties
Magnetization   0.0 μB per cell

Cell: 5.2871 5.2871 5.2871 Å, 32.02 32.02 32.02°
Last column: nearest neighbours and their distance in Å.
Positions (direct):
Li 0.0000 0.0000 0.0000  6 O 2.14
Ti 0.5000 0.5000 0.5000  6 O 2.06
O 0.2460 0.2460 0.2460  3 Ti 2.06, 3 Li 2.14
O 0.7540 0.7540 0.7540  3 Ti 2.06, 3 Li 2.14


no.,DFT total energy (eV/atom)
1,-3.525
2,-4.396
3,-7.538